Record 1
SmInGa4 PBE optimized geometry; energy relative to the elements = -0.244 eV/atom; calculated density = 7.13 g/cm³; density of states at the Fermi level = 0.7547 states/eV per atom; relative energy among the computed polymorphs = 0 meV/atom; V = 21.11 Å³/atom; final energy = -3.505 eV/atom
1.0
0.000 3.986 3.986
3.986 0.000 3.986
3.986 3.986 0.000
Sm In Ga
1 1 4
direct
0.000 0.000 0.000
0.750 0.750 0.750
0.375 0.375 0.375
0.375 0.375 0.875
0.375 0.875 0.375
0.875 0.375 0.375

Record 2
Sm6In2Ga PBE optimized geometry; energy relative to the elements = -0.142 eV/atom; calculated density = 6.67 g/cm³; density of states at the Fermi level = 1.5868 states/eV per atom; relative energy among the computed polymorphs = 207 meV/atom; V = 33.25 Å³/atom; final energy = -4.233 eV/atom
1.0
-2.600 3.685 7.808
2.600 -3.685 7.808
2.600 3.685 -7.808
Sm In Ga
6 2 1
direct
0.081 0.338 0.743
0.237 0.000 0.237
0.405 0.662 0.743
0.595 0.338 0.257
0.763 0.000 0.763
0.919 0.662 0.257
0.335 0.835 0.500
0.665 0.165 0.500
0.000 0.500 0.500

Record 3
Sm3InGa2 PBE optimized geometry; energy relative to the elements = -0.540 eV/atom; calculated density = 7.63 g/cm³; density of states at the Fermi level = 0.5635 states/eV per atom; V = 25.59 Å³/atom; final energy = -4.365 eV/atom
1.0
3.678 0.000 0.000
0.000 3.678 0.000
0.000 0.000 11.350
Sm In Ga
3 1 2
direct
0.000 0.000 0.000
0.000 0.000 0.320
0.000 0.000 0.680
0.500 0.500 0.500
0.500 0.500 0.160
0.500 0.500 0.840

Record 4
Sm12In5Ga2 PBE optimized geometry; energy relative to the elements = -0.210 eV/atom; calculated density = 7.28 g/cm³; density of states at the Fermi level = 1.1291 states/eV per atom; V = 30.24 Å³/atom; final energy = -4.230 eV/atom
1.0
7.809 -4.370 0.000
7.809 4.370 0.000
-0.918 0.000 8.421
Sm In Ga
12 5 2
direct
0.038 0.038 0.211
0.085 0.637 0.088
0.144 0.530 0.651
0.363 0.915 0.912
0.449 0.449 0.340
0.470 0.856 0.349
0.530 0.144 0.651
0.551 0.551 0.660
0.637 0.085 0.088
0.856 0.470 0.349
0.915 0.363 0.912
0.962 0.962 0.789
0.146 0.146 0.590
0.245 0.245 0.208
0.500 0.500 0.000
0.755 0.755 0.792
0.854 0.854 0.410
0.198 0.802 0.500
0.802 0.198 0.500

Record 5
Sm6In2Ga PBE optimized geometry; energy relative to the elements = -0.350 eV/atom; calculated density = 7.53 g/cm³; density of states at the Fermi level = 1.1515 states/eV per atom; relative energy among the computed polymorphs = 0 meV/atom; V = 29.43 Å³/atom; final energy = -4.441 eV/atom
1.0
8.987 0.000 0.000
-4.494 7.783 0.000
0.000 0.000 3.786
Sm In Ga
6 2 1
direct
0.000 0.388 0.000
0.000 0.729 0.500
0.271 0.271 0.500
0.388 0.000 0.000
0.612 0.612 0.000
0.729 0.000 0.500
0.333 0.667 0.500
0.667 0.333 0.500
0.000 0.000 0.000

Record 6
Sm8InGa2 PBE optimized geometry; energy relative to the elements = -0.281 eV/atom; calculated density = 7.56 g/cm³; density of states at the Fermi level = 1.1150 states/eV per atom; V = 29.08 Å³/atom; final energy = -4.513 eV/atom
1.0
8.622 -2.479 0.000
8.622 2.479 0.000
-2.962 0.000 7.485
Sm In Ga
8 1 2
direct
0.050 0.050 0.237
0.167 0.167 0.749
0.322 0.322 0.550
0.399 0.399 0.042
0.601 0.601 0.958
0.678 0.678 0.450
0.833 0.833 0.251
0.950 0.950 0.763
0.500 0.500 0.500
0.213 0.213 0.161
0.787 0.787 0.839

Record 7
Sm4InGa2 PBE optimized geometry; energy relative to the elements = -0.288 eV/atom; calculated density = 6.85 g/cm³; density of states at the Fermi level = 0.9874 states/eV per atom; relative energy among the computed polymorphs = 106 meV/atom; V = 29.65 Å³/atom; final energy = -4.241 eV/atom
1.0
2.577 1.488 9.021
-2.577 1.488 9.021
0.000 -2.976 9.021
Sm In Ga
4 1 2
direct
0.119 0.119 0.119
0.293 0.293 0.293
0.707 0.707 0.707
0.881 0.881 0.881
0.500 0.500 0.500
0.401 0.401 0.401
0.599 0.599 0.599

Record 8
Sm6In5Ga PBE optimized geometry; energy relative to the elements = -0.498 eV/atom; calculated density = 7.78 g/cm³; density of states at the Fermi level = 0.4700 states/eV per atom; V = 27.50 Å³/atom; final energy = -4.251 eV/atom
1.0
2.689 -8.068 0.000
2.689 8.068 0.000
0.000 0.000 7.607
Sm In Ga
6 5 1
direct
0.000 0.000 0.243
0.000 0.000 0.757
0.337 0.663 0.247
0.337 0.663 0.753
0.663 0.337 0.247
0.663 0.337 0.753
0.168 0.832 0.500
0.170 0.830 0.000
0.500 0.500 0.500
0.830 0.170 0.000
0.832 0.168 0.500
0.500 0.500 0.000

Record 9
Sm3InGa4 PBE optimized geometry; energy relative to the elements = -0.388 eV/atom; calculated density = 6.88 g/cm³; density of states at the Fermi level = 0.5814 states/eV per atom; V = 25.50 Å³/atom; final energy = -4.014 eV/atom
1.0
-1.893 3.246 8.303
1.893 -3.246 8.303
1.893 3.246 -8.303
Sm In Ga
3 1 4
direct
0.000 0.000 0.000
0.296 0.796 0.500
0.704 0.204 0.500
0.500 0.500 0.000
0.071 0.373 0.699
0.326 0.627 0.699
0.674 0.373 0.301
0.929 0.627 0.301

Record 10
Sm5InGa4 PBE optimized geometry; energy relative to the elements = -0.554 eV/atom; calculated density = 7.59 g/cm³; density of states at the Fermi level = 0.4088 states/eV per atom; V = 25.05 Å³/atom; final energy = -4.398 eV/atom
1.0
3.663 0.000 0.000
0.000 3.663 0.000
0.000 0.000 18.668
Sm In Ga
5 1 4
direct
0.000 0.000 0.000
0.000 0.000 0.194
0.000 0.000 0.389
0.000 0.000 0.611
0.000 0.000 0.806
0.500 0.500 0.500
0.500 0.500 0.097
0.500 0.500 0.292
0.500 0.500 0.708
0.500 0.500 0.903

Record 11
Sm3InGa3 PBE optimized geometry; energy relative to the elements = -0.581 eV/atom; calculated density = 7.38 g/cm³; density of states at the Fermi level = 0.8249 states/eV per atom; V = 24.90 Å³/atom; final energy = -4.292 eV/atom
1.0
5.680 -2.246 0.000
5.680 2.246 0.000
-4.943 0.000 13.663
Sm In Ga
6 2 6
direct
0.013 0.013 0.371
0.109 0.109 0.927
0.235 0.235 0.219
0.765 0.765 0.781
0.891 0.891 0.073
0.987 0.987 0.629
0.269 0.269 0.606
0.731 0.731 0.394
0.379 0.379 0.451
0.394 0.394 0.925
0.484 0.484 0.779
0.516 0.516 0.221
0.606 0.606 0.075
0.621 0.621 0.549

Record 12
SmInGa4 PBE optimized geometry; energy relative to the elements = -0.233 eV/atom; calculated density = 6.95 g/cm³; density of states at the Fermi level = 0.5035 states/eV per atom; relative energy among the computed polymorphs = 11 meV/atom; V = 21.67 Å³/atom; final energy = -3.493 eV/atom
1.0
3.502 0.000 0.000
0.000 4.691 0.000
0.000 0.000 7.913
Sm In Ga
1 1 4
direct
0.000 0.000 0.000
0.000 0.500 0.500
0.500 0.000 0.337
0.500 0.000 0.663
0.500 0.500 0.167
0.500 0.500 0.833